Entry 1:
Material: SnGeO3
Method: DFT, PBE-GGA
State: optimized geometry

Cell: 2.861 5.101 5.101 Å, 88.22 90.00 90.00°
Sites, in units of the cell vectors:
Sn 0.000 0.000 0.000
Ge 0.500 0.466 0.466
O 0.000 0.351 0.690
O 0.000 0.690 0.351
O 0.500 0.219 0.219

Values from the calculation:
energy	-30.18	eV/cell

---

Entry 2:
Material: SnGe3O
Method: DFT, PBE-GGA
State: optimized geometry

Cell: 4.569 4.569 4.569 Å, 90.00 90.00 90.00°
Sites, in units of the cell vectors:
Sn 0.000 0.000 0.000
Ge 0.000 0.500 0.500
Ge 0.500 0.000 0.500
Ge 0.500 0.500 0.000
O 0.500 0.500 0.500

Values from the calculation:
polymorph energy (0 for the lowest one)	0	meV per atom
energy	-23.01	eV/cell

---

Entry 3:
Material: Sr2SnGeO6
Method: DFT, PBE-GGA
State: optimized geometry

Cell: 10.085 10.085 10.085 Å, 32.82 32.82 32.82°
Sites, in units of the cell vectors:
Sr 0.132 0.132 0.132
Sr 0.281 0.281 0.281
Sr 0.719 0.719 0.719
Sr 0.868 0.868 0.868
Sn 0.407 0.407 0.407
Sn 0.593 0.593 0.593
Ge 0.000 0.000 0.000
Ge 0.500 0.500 0.500
O 0.147 0.615 0.615
O 0.195 0.195 0.728
O 0.195 0.728 0.195
O 0.272 0.805 0.805
O 0.385 0.385 0.853
O 0.385 0.853 0.385
O 0.615 0.147 0.615
O 0.615 0.615 0.147
O 0.728 0.195 0.195
O 0.805 0.272 0.805
O 0.805 0.805 0.272
O 0.853 0.385 0.385

Values from the calculation:
energy	-125.98	eV/cell

---

Entry 4:
Material: SrSnGeO5
Method: DFT, PBE-GGA
State: optimized geometry

Cell: 5.880 5.880 7.417 Å, 103.83 103.83 106.69°
Sites, in units of the cell vectors:
Sr 0.165 0.835 0.750
Sr 0.835 0.165 0.250
Sn 0.500 0.500 0.000
Sn 0.500 0.500 0.500
Ge 0.185 0.815 0.250
Ge 0.815 0.185 0.750
O 0.117 0.250 0.919
O 0.187 0.604 0.388
O 0.250 0.117 0.419
O 0.396 0.813 0.112
O 0.422 0.578 0.750
O 0.578 0.422 0.250
O 0.604 0.187 0.888
O 0.750 0.883 0.581
O 0.813 0.396 0.612
O 0.883 0.750 0.081

Values from the calculation:
energy	-103.50	eV/cell

---

Entry 5:
Material: TaSnGe2O8
Method: DFT, PBE-GGA
State: optimized geometry

Cell: 5.103 5.103 6.930 Å, 91.74 91.74 67.38°
Sites, in units of the cell vectors:
Ta 0.000 0.000 0.000
Sn 0.000 0.000 0.500
Ge 0.348 0.348 0.759
Ge 0.652 0.652 0.241
O 0.212 0.732 0.781
O 0.224 0.224 0.956
O 0.249 0.249 0.535
O 0.268 0.788 0.219
O 0.732 0.212 0.781
O 0.751 0.751 0.465
O 0.776 0.776 0.044
O 0.788 0.268 0.219

Values from the calculation:
energy	-86.49	eV/cell

---

Entry 6:
Material: TbSnGe2O8
Method: DFT, PBE-GGA
State: optimized geometry

Cell: 5.880 5.880 5.880 Å, 107.20 107.20 114.11°
Sites, in units of the cell vectors:
Tb 0.000 0.000 0.000
Sn 0.750 0.250 0.500
Ge 0.250 0.750 0.500
Ge 0.500 0.500 0.000
O 0.055 0.376 0.321
O 0.055 0.734 0.679
O 0.124 0.315 0.809
O 0.266 0.945 0.321
O 0.506 0.315 0.191
O 0.624 0.945 0.679
O 0.685 0.494 0.809
O 0.685 0.876 0.191

Values from the calculation:
energy	-79.30	eV/cell

---

Entry 7:
Material: TiSnGeO6
Method: DFT, PBE-GGA
State: optimized geometry

Cell: 5.018 5.018 8.979 Å, 90.00 90.00 120.00°
Sites, in units of the cell vectors:
Ti 0.333 0.667 0.250
Ti 0.667 0.333 0.750
Sn 0.000 0.000 0.000
Sn 0.000 0.000 0.500
Ge 0.333 0.667 0.750
Ge 0.667 0.333 0.250
O 0.008 0.353 0.633
O 0.008 0.655 0.867
O 0.345 0.353 0.867
O 0.345 0.992 0.633
O 0.353 0.008 0.133
O 0.353 0.345 0.367
O 0.647 0.655 0.633
O 0.647 0.992 0.867
O 0.655 0.008 0.367
O 0.655 0.647 0.133
O 0.992 0.345 0.133
O 0.992 0.647 0.367

Values from the calculation:
energy	-129.04	eV/cell

---

Entry 8:
Material: Tl2SnGe2O6
Method: DFT, PBE-GGA
State: optimized geometry

Cell: 6.836 6.836 6.836 Å, 50.77 50.77 50.77°
Sites, in units of the cell vectors:
Tl 0.214 0.214 0.214
Tl 0.786 0.786 0.786
Sn 0.000 0.000 0.000
Ge 0.430 0.430 0.430
Ge 0.570 0.570 0.570
O 0.235 0.235 0.744
O 0.235 0.744 0.235
O 0.256 0.765 0.765
O 0.744 0.235 0.235
O 0.765 0.256 0.765
O 0.765 0.765 0.256

Values from the calculation:
energy	-61.47	eV/cell